The following is a DFT calculation (PBE+U) of an optimized crystal structure of SrV2PdO6.

```
data_SrV2PdO6
_chemical_formula_sum 'Sr2 V4 Pd2 O12'
_symmetry_space_group_name_H-M 'P 1'
_symmetry_Int_Tables_number 1
_cell_length_a 7.4616
_cell_length_b 7.4616
_cell_length_c 6.1457
_cell_angle_alpha 105.70
_cell_angle_beta 105.70
_cell_angle_gamma 99.85
loop_
_symmetry_equiv_pos_as_xyz
'x,y,z'
loop_
_atom_site_label
_atom_site_fract_x
_atom_site_fract_y
_atom_site_fract_z
Sr1 0.1088 0.8912 0.7500
Sr2 0.8912 0.1088 0.2500
V1 0.2799 0.4254 0.8169
V2 0.4254 0.2799 0.3169
V3 0.5746 0.7201 0.6831
V4 0.7201 0.5746 0.1831
Pd1 0.2843 0.7157 0.2500
Pd2 0.7157 0.2843 0.7500
O1 0.0967 0.2164 0.6852
O2 0.1688 0.6091 0.8853
O3 0.2164 0.0967 0.1852
O4 0.3420 0.4367 0.5453
O5 0.3909 0.8312 0.6147
O6 0.4367 0.3420 0.0453
O7 0.5633 0.6580 0.9547
O8 0.6091 0.1688 0.3853
O9 0.6580 0.5633 0.4547
O10 0.7836 0.9033 0.8148
O11 0.8312 0.3909 0.1147
O12 0.9033 0.7836 0.3148
```

Electronic total energy, eV per cell: -139.51
Magnetization, μB per cell: 0.0
Space-group type: C2/c, No. 15